This record from the Open Quantum Materials Database describes CsHfTlSe3 after structural relaxation. The functional is GGA-PBE.

Lattice parameters (Å, degrees): 16.474 3.943 12.020 90.00 90.00 90.00
Fractional coordinates of all 24 atoms:
1 Cs 0.233 0.250 0.109
2 Cs 0.733 0.250 0.391
3 Cs 0.267 0.750 0.609
4 Cs 0.767 0.750 0.891
5 Hf 0.564 0.750 0.128
6 Hf 0.064 0.750 0.372
7 Hf 0.936 0.250 0.628
8 Hf 0.436 0.250 0.872
9 Se 0.449 0.250 0.108
10 Se 0.672 0.250 0.109
11 Se 0.057 0.750 0.157
12 Se 0.557 0.750 0.343
13 Se 0.172 0.250 0.391
14 Se 0.949 0.250 0.392
15 Se 0.051 0.750 0.608
16 Se 0.828 0.750 0.609
17 Se 0.443 0.250 0.657
18 Se 0.943 0.250 0.843
19 Se 0.328 0.750 0.891
20 Se 0.551 0.750 0.892
21 Tl 0.924 0.250 0.133
22 Tl 0.424 0.250 0.367
23 Tl 0.576 0.750 0.633
24 Tl 0.076 0.750 0.867

Calculated values
Crystal system = orthorhombic
Symmetry = Pnma (62)
Energy relative to the lowest polymorph listed for this composition = 0.00 kJ/mol of atoms



This record from the Open Quantum Materials Database describes CsYHfSe3 after structural relaxation. The functional is GGA-PBE.

Lattice parameters (Å, degrees): 8.435 8.435 10.955 90.00 90.00 150.58
Last column: magnetic moment on the atom in μB.
Fractional coordinates of all 12 atoms:
1 Cs 0.242 0.758 0.250  0.00
2 Cs 0.758 0.242 0.750  0.00
3 Hf 0.970 0.030 0.250  0.09
4 Hf 0.030 0.970 0.750  0.09
5 Se 0.882 0.118 0.055  0.00
6 Se 0.562 0.438 0.250  0.00
7 Se 0.882 0.118 0.445  0.00
8 Se 0.118 0.882 0.555  0.00
9 Se 0.438 0.562 0.750  0.00
10 Se 0.118 0.882 0.945  0.00
11 Y 0.500 0.500 0.000  0.02
12 Y 0.500 0.500 0.500  0.02

Calculated values
Raw total energy = -5.9836 eV per atom
Crystal system = orthorhombic
Symmetry = Cmcm (63)



This record from the Open Quantum Materials Database describes CsHf3Si5 after structural relaxation. The functional is GGA-PBE.

Lattice parameters (Å, degrees): 5.899 5.899 6.667 90.00 90.00 120.00
Fractional coordinates of all 9 atoms:
1 Cs 0.000 0.000 0.000
2 Hf 0.500 0.000 0.500
3 Hf 0.000 0.500 0.500
4 Hf 0.500 0.500 0.500
5 Si 0.667 0.333 0.176
6 Si 0.333 0.667 0.176
7 Si 0.000 0.000 0.500
8 Si 0.667 0.333 0.824
9 Si 0.333 0.667 0.824

Calculated values
Raw total energy = -6.3992 eV per atom
Crystal system = hexagonal
Symmetry = P6/mmm (191)



This record from the Open Quantum Materials Database describes CsHfSn after structural relaxation. The functional is GGA-PBE.

Lattice parameters (Å, degrees): 5.223 5.223 5.223 60.00 60.00 60.00
Fractional coordinates of all 3 atoms:
1 Cs 0.250 0.250 0.250
2 Hf 0.000 0.000 0.000
3 Sn 0.750 0.750 0.750

Calculated values
Raw total energy = -4.0452 eV per atom
Crystal system = cubic
Symmetry = F-43m (216)



This record from the Open Quantum Materials Database describes CsSrHf after structural relaxation. The functional is GGA-PBE.

Lattice parameters (Å, degrees): 6.161 6.161 6.161 60.00 60.00 60.00
Fractional coordinates of all 3 atoms:
1 Cs 0.250 0.250 0.250
2 Hf 0.000 0.000 0.000
3 Sr 0.750 0.750 0.750

Calculated values
Crystal system = cubic
Symmetry = F-43m (216)
Energy relative to the lowest polymorph listed for this composition = 0.00 kJ/mol of atoms



This record from the Open Quantum Materials Database describes CsSrHf after structural relaxation. The functional is GGA-PBE.

Lattice parameters (Å, degrees): 5.618 5.618 5.618 60.00 60.00 60.00
Fractional coordinates of all 3 atoms:
1 Cs 0.000 0.000 0.000
2 Hf 0.250 0.250 0.250
3 Sr 0.750 0.750 0.750

Calculated values
Crystal system = cubic
Symmetry = F-43m (216)
Energy relative to the lowest polymorph listed for this composition = 14.51 kJ/mol of atoms